No. 1
First-principles (PBE) data for a relaxed LaTcNiH6 crystal, as listed in the Alexandria database.

The calculation puts the total energy at -43.52 eV per cell. The volume comes out at 85 Å³/f.u. As for the density of states at the Fermi level: 0.319 states/eV/atom.

It has space group P-6m2 (No. 187), with a = 4.6259 Å, b = 4.6259 Å, c = 4.5669 Å, α = 90.00°, β = 90.00° and γ = 120.00°. The inequivalent atoms are La at (0.0000, 0.0000, 0.0000), Tc at (0.6667, 0.3333, 0.5000), Ni at (0.3333, 0.6667, 0.5000) and H at (0.0030, 0.5015, 0.2505).


No. 2
First-principles (PBE) data for a relaxed LaTi2NiH crystal, as listed in the Alexandria database.

The calculation puts the total energy at -29.23 eV per cell. The volume comes out at 82 Å³/f.u. As for the density of states at the Fermi level: 1.285 states/eV/atom.

It has space group P4/mmm (No. 123), with a = 3.947 Å, b = 3.947 Å, c = 5.287 Å, α = 90.00°, β = 90.00° and γ = 90.00°. The inequivalent atoms are La at (0.000, 0.000, 0.000), Ti at (0.000, 0.500, 0.500), Ni at (0.500, 0.500, 0.000) and H at (0.500, 0.500, 0.500).


No. 3
First-principles (PBE) data for a relaxed LaYNi2H8 crystal, as listed in the Alexandria database.

The calculation puts the total energy at -160.78 eV per cell. The volume comes out at 114 Å³/f.u. As for the density of states at the Fermi level: 0.385 states/eV/atom.

It has space group R-3m (No. 166, hexagonal axes), with a = 4.4777 Å, b = 4.4777 Å, c = 19.7231 Å, α = 90.00°, β = 90.00° and γ = 120.00°. The inequivalent atoms are La at (0.0000, 0.0000, 0.0000), Y at (0.0000, 0.0000, 0.5000), Ni at (0.0000, 0.0000, 0.2522), H at (0.0000, 0.0000, 0.3336) and H at (0.0374, 0.5187, 0.5550).


No. 4
First-principles (PBE) data for a relaxed La2ZnNi6H crystal, as listed in the Alexandria database.

The calculation puts the total energy at -155.23 eV per cell. The volume comes out at 146 Å³/f.u. As for the density of states at the Fermi level: 0.522 states/eV/atom.

It has space group R-3m (No. 166, hexagonal axes), with a = 5.3382 Å, b = 5.3382 Å, c = 17.7942 Å, α = 90.00°, β = 90.00° and γ = 120.00°. The inequivalent atoms are La at (0.0000, 0.0000, 0.2269), Zn at (0.0000, 0.0000, 0.5000), Ni at (0.0096, 0.5048, 0.2790) and H at (0.0000, 0.0000, 0.0000).


No. 5
First-principles (PBE) data for a relaxed LaZnNi4H6 crystal, as listed in the Alexandria database.

The calculation puts the total energy at -52.91 eV per cell. The volume comes out at 111 Å³/f.u. As for the density of states at the Fermi level: 0.346 states/eV/atom.

It has space group P6/mmm (No. 191), with a = 4.3731 Å, b = 4.3731 Å, c = 6.7176 Å, α = 90.00°, β = 90.00° and γ = 120.00°. The inequivalent atoms are La at (0.0000, 0.0000, 0.0000), Zn at (0.0000, 0.0000, 0.5000), Ni at (0.3333, 0.6667, 0.3241) and H at (0.0000, 0.5000, 0.1754).


No. 6
First-principles (PBE) data for a relaxed La2ZnNi12H3 crystal, as listed in the Alexandria database.

The calculation puts the total energy at -274.01 eV per cell. The volume comes out at 220 Å³/f.u. As for the density of states at the Fermi level: 1.094 states/eV/atom.

It has space group R-3m (No. 166, hexagonal axes), with a = 6.5713 Å, b = 6.5713 Å, c = 17.6554 Å, α = 90.00°, β = 90.00° and γ = 120.00°. The inequivalent atoms are La at (0.0000, 0.0000, 0.1026), Zn at (0.0000, 0.0000, 0.5000), Ni at (0.0645, 0.5322, 0.8959), Ni at (0.0842, 0.5421, 0.3185) and H at (0.0000, 0.5000, 0.0000).